(1)
Material: PrNdNi4
Method: DFT, PBE
State: optimized geometry

abc: 7.3065 7.3065 7.3065
angles: 90.00 90.00 90.00
With the nearest neighbours (Å) after each atom.
Space group F-43m (No. 216)
Inequivalent atoms, fractional coordinates:
1 Pr 0.0000 0.0000 0.0000  12 Ni 3.03, 4 Nd 3.16
2 Nd 0.2500 0.2500 0.2500  12 Ni 3.03, 4 Pr 3.16
3 Ni 0.1249 0.1249 0.6249  6 Ni 2.58-2.59

VASP energy in eV/atom: -5.60
Crystal system: cubic
Energy of formation from the pure elements in kJ/mol of formula units: -172
Total magnetization in Bohr magnetons per cell: 0.02



(2)
Material: PrNd2NiPt8
Method: DFT, PBE
State: optimized geometry

abc: 5.4663 5.4663 26.2890
angles: 90.00 90.00 120.00
With the nearest neighbours (Å) after each atom.
Space group R-3m (No. 166, hexagonal axes)
Inequivalent atoms, fractional coordinates:
1 Pr 0.0000 0.0000 0.0000  6 Pt 3.16
2 Nd 0.0000 0.0000 0.1403  9 Pt 3.07-3.20, 3 Ni 3.23
3 Ni 0.0000 0.0000 0.5000  6 Pt 2.62
4 Pt 0.0000 0.0000 0.3326  6 Pt 2.77-2.80
5 Pt 0.0007 0.5004 0.9128  1 Ni 2.62, 6 Pt 2.73-2.80

VASP energy in eV/atom: -6.55
Crystal system: trigonal
Energy of formation from the pure elements in kJ/mol of formula units: -989
Total magnetization in Bohr magnetons per cell: 0.15



(3)
Material: PrNd2Ni2Pt7
Method: DFT, PBE
State: optimized geometry

abc: 5.4517 5.4517 25.8724
angles: 90.00 90.00 120.00
With the nearest neighbours (Å) after each atom.
Space group R-3m (No. 166, hexagonal axes)
Inequivalent atoms, fractional coordinates:
1 Pr 0.0000 0.0000 0.0000  6 Ni 3.15, 12 Pt 3.42
2 Nd 0.0000 0.0000 0.1391  12 Pt 3.13-3.35, 3 Nd 3.46
3 Ni 0.0000 0.0000 0.3331  6 Pt 2.58-2.61
4 Pt 0.0000 0.0000 0.5000  6 Pt 2.75
5 Pt 0.0030 0.5015 0.9203  2 Ni 2.58-2.61, 5 Pt 2.70-2.75

VASP energy in eV/atom: -6.49
Crystal system: trigonal
Energy of formation from the pure elements in kJ/mol of formula units: -975
Total magnetization in Bohr magnetons per cell: 3.28



(4)
Material: PrNd2Ni8Pt
Method: DFT, PBE
State: optimized geometry

abc: 5.0574 5.0574 25.1388
angles: 90.00 90.00 120.00
With the nearest neighbours (Å) after each atom.
Space group R-3m (No. 166, hexagonal axes)
Inequivalent atoms, fractional coordinates:
1 Pr 0.0000 0.0000 0.0000  18 Ni 2.92-3.21
2 Nd 0.0000 0.0000 0.1369  6 Ni 2.92, 3 Pt 3.01
3 Ni 0.0000 0.0000 0.3328  6 Ni 2.45-2.48
4 Ni 0.0025 0.5013 0.9211  6 Ni 2.45-2.55, 1 Pt 2.65
5 Pt 0.0000 0.0000 0.5000  6 Ni 2.65

VASP energy in eV/atom: -5.82
Crystal system: trigonal
Energy of formation from the pure elements in kJ/mol of formula units: -474
Total magnetization in Bohr magnetons per cell: 2.24



(5)
Material: Pr2NdNi2Pt7
Method: DFT, PBE
State: optimized geometry

abc: 5.4500 5.4500 25.9470
angles: 90.00 90.00 120.00
With the nearest neighbours (Å) after each atom.
Space group R-3m (No. 166, hexagonal axes)
Inequivalent atoms, fractional coordinates:
1 Pr 0.0000 0.0000 0.1391  12 Pt 3.13-3.37, 3 Pr 3.46
2 Nd 0.0000 0.0000 0.0000  6 Ni 3.15, 12 Pt 3.42
3 Ni 0.0000 0.0000 0.3331  6 Pt 2.58-2.60
4 Pt 0.0000 0.0000 0.5000  6 Pt 2.77
5 Pt 0.0027 0.5013 0.9207  2 Ni 2.58-2.60, 5 Pt 2.70-2.77

VASP energy in eV/atom: -6.48
Crystal system: trigonal
Energy of formation from the pure elements in kJ/mol of formula units: -962
Total magnetization in Bohr magnetons per cell: 3.45



(6)
Material: Pr2NdNi3Pt6
Method: DFT, PBE
State: optimized geometry

abc: 5.4522 5.4522 25.2954
angles: 90.00 90.00 120.00
With the nearest neighbours (Å) after each atom.
Space group R-3m (No. 166, hexagonal axes)
Inequivalent atoms, fractional coordinates:
1 Pr 0.0000 0.0000 0.1402  9 Pt 3.10-3.23, 3 Ni 3.22, 3 Pr 3.42
2 Nd 0.0000 0.0000 0.0000  6 Ni 3.15, 12 Pt 3.42
3 Ni 0.0000 0.0000 0.3329  6 Pt 2.59-2.61
4 Ni 0.0000 0.0000 0.5000  6 Pt 2.66
5 Pt 0.9996 0.4998 0.0818  3 Ni 2.59-2.66, 4 Pt 2.72-2.73

VASP energy in eV/atom: -6.39
Crystal system: trigonal
Energy of formation from the pure elements in kJ/mol of formula units: -896
Total magnetization in Bohr magnetons per cell: 3.50



(7)
Material: Pr2NdNi6Pt3
Method: DFT, PBE
State: optimized geometry

abc: 5.1765 5.1765 25.6705
angles: 90.00 90.00 120.00
With the nearest neighbours (Å) after each atom.
Space group R-3m (No. 166, hexagonal axes)
Inequivalent atoms, fractional coordinates:
1 Pr 0.0000 0.0000 0.1376  9 Ni 2.95-3.26, 3 Pt 3.08
2 Nd 0.0000 0.0000 0.0000  6 Pt 2.99, 12 Ni 3.35
3 Ni 0.0024 0.5012 0.9173  4 Ni 2.57-2.61, 3 Pt 2.57-2.63
4 Pt 0.0000 0.0000 0.3326  6 Ni 2.57-2.62
5 Pt 0.0000 0.0000 0.5000  6 Ni 2.63

VASP energy in eV/atom: -6.02
Crystal system: trigonal
Energy of formation from the pure elements in kJ/mol of formula units: -617
Total magnetization in Bohr magnetons per cell: 2.64



(8)
Material: PrNdSi4Ni2
Method: DFT, PBE
State: optimized geometry

abc: 4.0787 4.1591 16.5182
angles: 90.00 90.00 90.00
With the nearest neighbours (Å) after each atom.
Space group Amm2 (No. 38)
Inequivalent atoms, fractional coordinates:
1 Pr 0.0000 0.0000 0.0000  10 Si 3.11-3.20, 4 Ni 3.17
2 Nd 0.5000 0.0000 0.7874  10 Si 3.11-3.19, 4 Ni 3.16
3 Si 0.0000 0.0000 0.3531  1 Ni 2.32, 2 Si 2.44
4 Si 0.0000 0.0000 0.6443  4 Ni 2.34-2.37
5 Si 0.5000 0.0000 0.1439  4 Ni 2.34-2.37
6 Si 0.5000 0.0000 0.4340  1 Ni 2.33, 2 Si 2.44
7 Ni 0.0000 0.0000 0.2129  5 Si 2.32-2.37
8 Ni 0.5000 0.0000 0.5750  5 Si 2.33-2.37

VASP energy in eV/atom: -6.11
Crystal system: orthorhombic
Total magnetization in Bohr magnetons per cell: 0.01